(1)
DFT (GGA-PBE) results for a relaxed TiGaFe crystal.

DOS(E_F), states/eV/cell: 1.46
DFT formation energy, eV/atom: -0.28
Crystal system: trigonal

```
data_TiGaFe
_cell_length_a 4.2240
_cell_length_b 4.2240
_cell_length_c 2.7026
_cell_angle_alpha 90.00
_cell_angle_beta 90.00
_cell_angle_gamma 120.00
_space_group_name_H-M_alt 'P 3 m 1'
_space_group_IT_number 156
loop_
_space_group_symop_operation_xyz
'x,y,z'
'-y,x-y,z'
'-x+y,-x,z'
'-y,-x,z'
'-x+y,y,z'
'x,x-y,z'
loop_
_atom_site_label
_atom_site_type_symbol
_atom_site_fract_x
_atom_site_fract_y
_atom_site_fract_z
Ti1 Ti 0.0000 0.0000 0.0000
Ga1 Ga 0.3333 0.6667 0.5365
Fe1 Fe 0.6667 0.3333 0.3131
```



(2)
DFT (GGA-PBE) results for a relaxed TaTc2Mo crystal.

DOS(E_F), states/eV/cell: 3.31
DFT formation energy, eV/atom: -0.06
Crystal system: monoclinic
Excess energy over the best structure of this formula in the dataset, meV per atom: 134

```
data_TaTc2Mo
_cell_length_a 2.782
_cell_length_b 4.441
_cell_length_c 5.209
_cell_angle_alpha 90.00
_cell_angle_beta 101.03
_cell_angle_gamma 90.00
_space_group_name_H-M_alt 'P 1 m 1'
_space_group_IT_number 6
loop_
_space_group_symop_operation_xyz
'x,y,z'
'x,-y,z'
loop_
_atom_site_label
_atom_site_type_symbol
_atom_site_fract_x
_atom_site_fract_y
_atom_site_fract_z
Ta1 Ta 0.000 0.000 0.000
Tc1 Tc 0.478 0.000 0.501
Tc2 Tc 0.770 0.500 0.235
Mo1 Mo 0.248 0.500 0.731
```